VASP calculation (SCAN) on ZrCl3 at its PBEsol-relaxed geometry.

**Uncorrected formation energy**: -7.6 eV/f.u.
**Space-group type**: P-31m (162)

a b c (Å): 6.072 6.072 6.212
angles (deg): 90.00 90.00 120.00
Site moments in Bohr magnetons follow the coordinates.
Positions (direct):
Zr: 0.333 0.667 0.000  0.65
Zr: 0.667 0.333 0.000  0.65
Cl: 0.000 0.670 0.759  0.01
Cl: 0.670 0.000 0.759  0.01
Cl: 0.330 0.330 0.759  0.01
Cl: 0.330 0.000 0.241  0.01
Cl: 0.000 0.330 0.241  0.01
Cl: 0.670 0.670 0.241  0.01



VASP calculation (SCAN) on AgB2W at its PBEsol-relaxed geometry.

**Formation enthalpy at 0 K**: 0.965 eV per atom
**Space-group type**: I-42d (122)

a b c (Å): 4.998 4.998 4.998
angles (deg): 108.62 108.62 111.19
Positions (direct):
B: 0.880 0.875 0.505
B: 0.370 0.375 0.495
B: 0.625 0.120 0.995
B: 0.125 0.630 0.005
Ag: 0.750 0.250 0.500
Ag: 0.500 0.500 0.000
W: 0.250 0.750 0.500
W: 0.000 0.000 0.000



VASP calculation (SCAN) on In5Cl9 at its PBEsol-relaxed geometry.

**Uncorrected formation energy**: -15.3 eV/f.u.
**Space-group type**: R-3c (167)

a b c (Å): 9.084 9.084 9.084
angles (deg): 84.21 84.21 84.21
Positions (direct):
Cl: 0.750 0.909 0.591
Cl: 0.591 0.750 0.909
Cl: 0.909 0.591 0.750
Cl: 0.250 0.091 0.409
Cl: 0.409 0.250 0.091
Cl: 0.091 0.409 0.250
Cl: 0.413 0.773 0.573
Cl: 0.573 0.413 0.773
Cl: 0.773 0.573 0.413
Cl: 0.927 0.727 0.087
Cl: 0.727 0.087 0.927
Cl: 0.087 0.927 0.727
Cl: 0.587 0.227 0.427
Cl: 0.427 0.587 0.227
Cl: 0.227 0.427 0.587
Cl: 0.073 0.273 0.913
Cl: 0.273 0.913 0.073
Cl: 0.913 0.073 0.273
In: 0.562 0.938 0.250
In: 0.250 0.562 0.938
In: 0.938 0.250 0.562
In: 0.438 0.062 0.750
In: 0.750 0.438 0.062
In: 0.062 0.750 0.438
In: 0.146 0.146 0.146
In: 0.354 0.354 0.354
In: 0.854 0.854 0.854
In: 0.646 0.646 0.646



For reference, calculated total energy by record: -15.567; -28.013; -18.146 eV per atom.